5
Lattice="4.661 0.000 0.000 0.000 4.661 0.000 0.000 0.000 5.128" Properties=species:S:1:pos:R:3 comment="MgNbFeRh2 (GGA-PBE, relaxed)" ef_ev_per_atom=1.295 space_group="P4/mmm, No. 123" total_magnetization_mub_per_atom=0.708 e_tot_ev_per_atom=-5.67 pbc="T T T"
Mg 0.000 0.000 0.000
Nb 0.000 0.000 2.564
Fe 2.330 2.330 0.000
Rh 0.000 2.330 2.564
Rh 2.330 0.000 2.564

4
Lattice="0.000 3.087 3.087 3.087 0.000 3.087 3.087 3.087 0.000" Properties=species:S:1:pos:R:3 comment="MgNbFeRh (GGA-PBE, relaxed)" ef_ev_per_atom=-0.231 space_group="F-43m, No. 216" total_magnetization_mub_per_atom=0.000 e_tot_ev_per_atom=-7.10 pbc="T T T"
Mg 0.000 0.000 0.000
Nb 3.087 3.087 3.087
Fe 4.631 4.631 4.631
Rh 1.544 1.544 1.544

4
Lattice="0.000 3.088 3.088 3.088 0.000 3.088 3.088 3.088 0.000" Properties=species:S:1:pos:R:3 comment="MgNbFeRu (GGA-PBE, relaxed)" ef_ev_per_atom=-0.071 space_group="F-43m, No. 216" total_magnetization_mub_per_atom=0.120 e_tot_ev_per_atom=-7.42 pbc="T T T"
Mg 0.000 0.000 0.000
Nb 3.088 3.088 3.088
Fe 1.544 1.544 1.544
Ru 4.632 4.632 4.632

5
Lattice="4.506 0.000 0.000 0.000 4.506 0.000 0.000 0.000 4.395" Properties=species:S:1:pos:R:3 comment="MgNbFeW2 (GGA-PBE, relaxed)" ef_ev_per_atom=1.106 space_group="P4/mmm, No. 123" total_magnetization_mub_per_atom=0.000 e_tot_ev_per_atom=-8.10 pbc="T T T"
Mg 0.000 0.000 0.000
Nb 2.253 2.253 0.000
Fe 0.000 0.000 2.198
W 0.000 2.253 2.198
W 2.253 0.000 2.198

4
Lattice="3.549 0.000 0.000 0.000 3.549 0.000 0.000 0.000 8.233" Properties=species:S:1:pos:R:3 comment="Nd2MgFe (GGA-PBE, relaxed)" ef_ev_per_atom=0.086 de_polymorph_mev_per_atom=0 space_group="P4/mmm, No. 123" total_magnetization_mub_per_atom=0.397 e_tot_ev_per_atom=-4.81 pbc="T T T"
Nd 0.000 0.000 1.693
Nd 0.000 0.000 6.540
Mg 1.774 1.774 4.117
Fe 1.774 1.774 0.000

4
Lattice="1.775 1.025 10.647 -1.775 1.025 10.647 0.000 -2.050 10.647" Properties=species:S:1:pos:R:3 comment="Nd2MgFe (GGA-PBE, relaxed)" ef_ev_per_atom=0.396 de_polymorph_mev_per_atom=310 space_group="R-3m, No. 166" total_magnetization_mub_per_atom=0.310 e_tot_ev_per_atom=-4.50 pbc="T T T"
Nd 0.000 0.000 3.432
Nd 0.000 0.000 28.509
Mg 0.000 0.000 0.000
Fe 0.000 0.000 15.971